## P
Density functional theory data (PBE with a Hubbard U) for a relaxed Sr2LiV2Si4O14 crystal.

a b c (Å): 5.569 7.337 8.205
angles (deg): 77.26 64.75 87.28
Fractional positions:
Sr1 0.215 0.297 0.638
Sr2 0.790 0.696 0.291
Li1 0.770 0.902 0.575
V1 0.894 0.245 0.197
V2 0.182 0.808 0.728
Si1 0.368 0.499 0.199
Si2 0.669 0.533 0.761
Si3 0.619 0.085 0.827
Si4 0.301 0.934 0.261
O1 0.678 0.314 0.734
O2 0.322 0.712 0.241
O3 0.516 0.528 0.978
O4 0.500 0.051 0.052
O5 0.561 0.402 0.295
O6 0.970 0.630 0.664
O7 0.439 0.009 0.738
O8 0.992 0.988 0.310
O9 0.046 0.723 0.955
O10 0.025 0.270 0.961
O11 0.914 0.004 0.728
O12 0.397 0.943 0.419
O13 0.072 0.399 0.298
O14 0.510 0.647 0.645

Values from the calculation:
symmetry	P1 (1)
crystal system	triclinic
ρ	3.5	g/cm3


## Q
Density functional theory data (PBE with a Hubbard U) for a relaxed Sr2LiV2Si4O14 crystal.

a b c (Å): 7.212 5.507 7.934
angles (deg): 67.70 90.00 90.00
Fractional positions:
Sr1 0.000 0.785 0.373
Sr2 0.500 0.215 0.613
Li1 0.000 0.687 0.987
V1 0.000 0.153 0.774
V2 0.500 0.862 0.216
Si1 0.725 0.632 0.777
Si2 0.771 0.358 0.219
Si3 0.229 0.358 0.219
Si4 0.275 0.632 0.777
O1 0.000 0.345 0.272
O2 0.500 0.653 0.734
O3 0.767 0.496 0.997
O4 0.233 0.496 0.997
O5 0.805 0.927 0.705
O6 0.684 0.560 0.304
O7 0.310 0.063 0.300
O8 0.195 0.446 0.678
O9 0.500 0.990 0.992
O10 0.000 0.990 0.023
O11 0.316 0.560 0.304
O12 0.195 0.927 0.705
O13 0.805 0.446 0.678
O14 0.690 0.063 0.300

Values from the calculation:
symmetry	Pm (6)
crystal system	monoclinic
ρ	3.5	g/cm3


Top of the stability list: Q, leading by 11 meV/atom.